# PBEsol NaLi2Ge2, relaxed
# spin magnetization = 0.00 Bohr magnetons per cell
# DFT formation energy = -0.11 eV/atom
# space-group type = I4/mmm
data_NaLi2Ge2
_chemical_formula_sum 'Na1 Li2 Ge2'
_space_group_name_H-M_alt 'P 1'
_space_group_IT_number 1
_space_group_name_Hall 'P 1'
_cell_length_a 4.401
_cell_length_b 4.401
_cell_length_c 6.157
_cell_angle_alpha 110.94
_cell_angle_beta 110.94
_cell_angle_gamma 90.00
loop_
_atom_site_label
_atom_site_type_symbol
_atom_site_fract_x
_atom_site_fract_y
_atom_site_fract_z
Na1 Na 0.000 0.000 0.000
Ge1 Ge 0.392 0.392 0.785
Ge2 Ge 0.608 0.608 0.215
Li1 Li 0.250 0.750 0.500
Li2 Li 0.750 0.250 0.500

# PBEsol NaLi2Ge2, relaxed
# spin magnetization = 0.00 Bohr magnetons per cell
# DFT formation energy = -0.23 eV/atom
# space-group type = P4/mbm
data_NaLi2Ge2
_chemical_formula_sum 'Na2 Li4 Ge4'
_space_group_name_H-M_alt 'P 1'
_space_group_IT_number 1
_space_group_name_Hall 'P 1'
_cell_length_a 2.980
_cell_length_b 7.744
_cell_length_c 7.744
_cell_angle_alpha 90.00
_cell_angle_beta 90.00
_cell_angle_gamma 90.00
loop_
_atom_site_label
_atom_site_type_symbol
_atom_site_fract_x
_atom_site_fract_y
_atom_site_fract_z
Na1 Na 0.000 0.000 0.000
Na2 Na 0.000 0.500 0.500
Ge1 Ge 0.000 0.385 0.885
Ge2 Ge 0.000 0.885 0.615
Ge3 Ge 0.000 0.615 0.115
Ge4 Ge 0.000 0.115 0.385
Li1 Li 0.500 0.181 0.681
Li2 Li 0.500 0.681 0.819
Li3 Li 0.500 0.819 0.319
Li4 Li 0.500 0.319 0.181

# PBEsol NaLiGe3, relaxed
# spin magnetization = 0.00 Bohr magnetons per cell
# DFT formation energy = 0.26 eV/atom
# space-group type = Pm-3m
data_NaLiGe3
_chemical_formula_sum 'Na1 Li1 Ge3'
_space_group_name_H-M_alt 'P 1'
_space_group_IT_number 1
_space_group_name_Hall 'P 1'
_cell_length_a 4.647
_cell_length_b 4.647
_cell_length_c 4.647
_cell_angle_alpha 90.00
_cell_angle_beta 90.00
_cell_angle_gamma 90.00
loop_
_atom_site_label
_atom_site_type_symbol
_atom_site_fract_x
_atom_site_fract_y
_atom_site_fract_z
Na1 Na 0.500 0.500 0.500
Ge1 Ge 0.000 0.500 0.000
Ge2 Ge 0.000 0.000 0.500
Ge3 Ge 0.500 0.000 0.000
Li1 Li 0.000 0.000 0.000

# PBEsol NaLiGePb2, relaxed
# spin magnetization = 0.00 Bohr magnetons per cell
# DFT formation energy = 0.14 eV/atom
# space-group type = P4/mmm
data_NaLiGePb2
_chemical_formula_sum 'Na1 Li1 Ge1 Pb2'
_space_group_name_H-M_alt 'P 1'
_space_group_IT_number 1
_space_group_name_Hall 'P 1'
_cell_length_a 4.814
_cell_length_b 5.596
_cell_length_c 5.596
_cell_angle_alpha 90.00
_cell_angle_beta 90.00
_cell_angle_gamma 90.00
loop_
_atom_site_label
_atom_site_type_symbol
_atom_site_fract_x
_atom_site_fract_y
_atom_site_fract_z
Pb1 Pb 0.000 0.000 0.500
Pb2 Pb 0.000 0.500 0.000
Na1 Na 0.500 0.500 0.500
Ge1 Ge 0.000 0.000 0.000
Li1 Li 0.500 0.000 0.000

# PBEsol LiNbGeO5, relaxed
# spin magnetization = 0.00 Bohr magnetons per cell
# VASP energy = -7.6791 eV per atom
# space-group type = Pnma
data_LiNbGeO5
_chemical_formula_sum 'Li4 Nb4 Ge4 O20'
_space_group_name_H-M_alt 'P 1'
_space_group_IT_number 1
_space_group_name_Hall 'P 1'
_cell_length_a 6.742
_cell_length_b 7.533
_cell_length_c 7.785
_cell_angle_alpha 90.00
_cell_angle_beta 90.00
_cell_angle_gamma 90.00
loop_
_atom_site_label
_atom_site_type_symbol
_atom_site_fract_x
_atom_site_fract_y
_atom_site_fract_z
Li1 Li 0.000 0.000 0.000
Li2 Li 0.500 0.000 0.000
Li3 Li 0.000 0.500 0.500
Li4 Li 0.500 0.500 0.500
Nb1 Nb 0.250 0.727 0.161
Nb2 Nb 0.250 0.773 0.661
Nb3 Nb 0.750 0.227 0.339
Nb4 Nb 0.750 0.273 0.839
Ge1 Ge 0.750 0.634 0.131
Ge2 Ge 0.750 0.866 0.631
Ge3 Ge 0.250 0.134 0.369
Ge4 Ge 0.250 0.366 0.869
O1 O 0.959 0.770 0.125
O2 O 0.250 0.836 0.888
O3 O 0.750 0.164 0.112
O4 O 0.750 0.336 0.612
O5 O 0.250 0.664 0.388
O6 O 0.041 0.270 0.375
O7 O 0.541 0.730 0.625
O8 O 0.250 0.003 0.557
O9 O 0.250 0.498 0.683
O10 O 0.750 0.502 0.317
O11 O 0.750 0.998 0.817
O12 O 0.250 0.002 0.183
O13 O 0.750 0.503 0.943
O14 O 0.750 0.997 0.443
O15 O 0.959 0.730 0.625
O16 O 0.250 0.497 0.057
O17 O 0.541 0.770 0.125
O18 O 0.041 0.230 0.875
O19 O 0.459 0.270 0.375
O20 O 0.459 0.230 0.875

# PBEsol LiNdGe, relaxed
# spin magnetization = 0.00 Bohr magnetons per cell
# DFT formation energy = -0.70 eV/atom
# space-group type = P-62m
data_LiNdGe
_chemical_formula_sum 'Li3 Nd3 Ge3'
_space_group_name_H-M_alt 'P 1'
_space_group_IT_number 1
_space_group_name_Hall 'P 1'
_cell_length_a 4.330
_cell_length_b 7.197
_cell_length_c 7.197
_cell_angle_alpha 120.00
_cell_angle_beta 90.00
_cell_angle_gamma 90.00
loop_
_atom_site_label
_atom_site_type_symbol
_atom_site_fract_x
_atom_site_fract_y
_atom_site_fract_z
Li1 Li 0.500 0.767 0.767
Li2 Li 0.500 0.233 0.000
Li3 Li 0.500 0.000 0.233
Nd1 Nd 0.000 0.000 0.579
Nd2 Nd 0.000 0.421 0.421
Nd3 Nd 0.000 0.579 0.000
Ge1 Ge 0.500 0.667 0.333
Ge2 Ge 0.500 0.333 0.667
Ge3 Ge 0.000 0.000 0.000

# PBEsol LiNdGeO4, relaxed
# spin magnetization = 0.00 Bohr magnetons per cell
# VASP energy = -7.2321 eV per atom
# space-group type = Pbcn
data_LiNdGeO4
_chemical_formula_sum 'Li4 Nd4 Ge4 O16'
_space_group_name_H-M_alt 'P 1'
_space_group_IT_number 1
_space_group_name_Hall 'P 1'
_cell_length_a 5.097
_cell_length_b 5.376
_cell_length_c 11.833
_cell_angle_alpha 90.00
_cell_angle_beta 90.00
_cell_angle_gamma 90.00
loop_
_atom_site_label
_atom_site_type_symbol
_atom_site_fract_x
_atom_site_fract_y
_atom_site_fract_z
Li1 Li 0.500 0.750 0.734
Li2 Li 0.500 0.250 0.266
Li3 Li 0.000 0.250 0.766
Li4 Li 0.000 0.750 0.234
Nd1 Nd 0.500 0.750 0.386
Nd2 Nd 0.500 0.250 0.614
Nd3 Nd 0.000 0.750 0.886
Nd4 Nd 0.000 0.250 0.114
Ge1 Ge 0.500 0.250 0.891
Ge2 Ge 0.500 0.750 0.109
Ge3 Ge 0.000 0.250 0.391
Ge4 Ge 0.000 0.750 0.609
O1 O 0.750 0.418 0.959
O2 O 0.750 0.418 0.459
O3 O 0.323 0.452 0.797
O4 O 0.323 0.952 0.203
O5 O 0.177 0.952 0.703
O6 O 0.677 0.548 0.203
O7 O 0.677 0.048 0.797
O8 O 0.250 0.082 0.459
O9 O 0.177 0.452 0.297
O10 O 0.750 0.918 0.541
O11 O 0.750 0.918 0.041
O12 O 0.823 0.048 0.297
O13 O 0.250 0.082 0.959
O14 O 0.250 0.582 0.041
O15 O 0.250 0.582 0.541
O16 O 0.823 0.548 0.703

# PBEsol LiNi2Ge2, relaxed
# spin magnetization = 0.00 Bohr magnetons per cell
# DFT formation energy = -0.31 eV/atom
# space-group type = I4/mmm
data_LiNi2Ge2
_chemical_formula_sum 'Li1 Ni2 Ge2'
_space_group_name_H-M_alt 'P 1'
_space_group_IT_number 1
_space_group_name_Hall 'P 1'
_cell_length_a 3.707
_cell_length_b 3.707
_cell_length_c 5.846
_cell_angle_alpha 108.49
_cell_angle_beta 108.49
_cell_angle_gamma 90.00
loop_
_atom_site_label
_atom_site_type_symbol
_atom_site_fract_x
_atom_site_fract_y
_atom_site_fract_z
Ni1 Ni 0.250 0.750 0.500
Ni2 Ni 0.750 0.250 0.500
Ge1 Ge 0.384 0.384 0.768
Ge2 Ge 0.616 0.616 0.232
Li1 Li 0.000 0.000 0.000

# PBEsol LiNi6Ge6, relaxed
# spin magnetization = 0.00 Bohr magnetons per cell
# DFT formation energy = -0.38 eV/atom
# space-group type = P6/mmm
data_LiNi6Ge6
_chemical_formula_sum 'Li3 Ni18 Ge18'
_space_group_name_H-M_alt 'P 1'
_space_group_IT_number 1
_space_group_name_Hall 'P 1'
_cell_length_a 7.739
_cell_length_b 8.630
_cell_length_c 8.630
_cell_angle_alpha 120.00
_cell_angle_beta 90.00
_cell_angle_gamma 90.00
loop_
_atom_site_label
_atom_site_type_symbol
_atom_site_fract_x
_atom_site_fract_y
_atom_site_fract_z
Li1 Li 0.000 0.333 0.667
Li2 Li 0.000 0.667 0.333
Li3 Li 0.500 0.000 0.000
Ni1 Ni 0.755 0.666 0.833
Ni2 Ni 0.755 0.833 0.167
Ni3 Ni 0.755 0.833 0.666
Ni4 Ni 0.755 0.167 0.334
Ni5 Ni 0.755 0.167 0.833
Ni6 Ni 0.245 0.334 0.167
Ni7 Ni 0.245 0.833 0.167
Ni8 Ni 0.755 0.334 0.167
Ni9 Ni 0.245 0.833 0.666
Ni10 Ni 0.245 0.167 0.334
Ni11 Ni 0.245 0.666 0.833
Ni12 Ni 0.245 0.167 0.833
Ni13 Ni 0.741 0.000 0.500
Ni14 Ni 0.741 0.500 0.500
Ni15 Ni 0.741 0.500 0.000
Ni16 Ni 0.259 0.000 0.500
Ni17 Ni 0.259 0.500 0.500
Ni18 Ni 0.259 0.500 0.000
Ge1 Ge 0.000 0.000 0.659
Ge2 Ge 0.000 0.659 0.659
Ge3 Ge 0.000 0.341 0.000
Ge4 Ge 0.000 0.659 0.000
Ge5 Ge 0.000 0.341 0.341
Ge6 Ge 0.000 0.000 0.341
Ge7 Ge 0.500 0.000 0.674
Ge8 Ge 0.500 0.674 0.674
Ge9 Ge 0.500 0.326 0.000
Ge10 Ge 0.500 0.674 0.000
Ge11 Ge 0.500 0.326 0.326
Ge12 Ge 0.500 0.000 0.326
Ge13 Ge 0.662 0.333 0.667
Ge14 Ge 0.662 0.667 0.333
Ge15 Ge 0.338 0.667 0.333
Ge16 Ge 0.338 0.333 0.667
Ge17 Ge 0.839 0.000 0.000
Ge18 Ge 0.161 0.000 0.000

# PBEsol LiNi2Ge2, relaxed
# spin magnetization = 0.00 Bohr magnetons per cell
# DFT formation energy = -0.31 eV/atom
# space-group type = P4/mbm
data_LiNi2Ge2
_chemical_formula_sum 'Li2 Ni4 Ge4'
_space_group_name_H-M_alt 'P 1'
_space_group_IT_number 1
_space_group_name_Hall 'P 1'
_cell_length_a 2.679
_cell_length_b 6.969
_cell_length_c 6.969
_cell_angle_alpha 90.00
_cell_angle_beta 90.00
_cell_angle_gamma 90.00
loop_
_atom_site_label
_atom_site_type_symbol
_atom_site_fract_x
_atom_site_fract_y
_atom_site_fract_z
Ni1 Ni 0.500 0.139 0.639
Ni2 Ni 0.500 0.639 0.861
Ni3 Ni 0.500 0.861 0.361
Ni4 Ni 0.500 0.361 0.139
Ge1 Ge 0.000 0.343 0.843
Ge2 Ge 0.000 0.843 0.657
Ge3 Ge 0.000 0.657 0.157
Ge4 Ge 0.000 0.157 0.343
Li1 Li 0.000 0.000 0.000
Li2 Li 0.000 0.500 0.500

# PBEsol Li3NiGe, relaxed
# spin magnetization = 0.00 Bohr magnetons per cell
# DFT formation energy = 0.41 eV/atom
# space-group type = Pm-3m
data_Li3NiGe
_chemical_formula_sum 'Li3 Ni1 Ge1'
_space_group_name_H-M_alt 'P 1'
_space_group_IT_number 1
_space_group_name_Hall 'P 1'
_cell_length_a 4.341
_cell_length_b 4.341
_cell_length_c 4.341
_cell_angle_alpha 90.00
_cell_angle_beta 90.00
_cell_angle_gamma 90.00
loop_
_atom_site_label
_atom_site_type_symbol
_atom_site_fract_x
_atom_site_fract_y
_atom_site_fract_z
Ni1 Ni 0.000 0.000 0.000
Ge1 Ge 0.500 0.500 0.500
Li1 Li 0.000 0.500 0.000
Li2 Li 0.000 0.000 0.500
Li3 Li 0.500 0.000 0.000